# Co2CuRh, optimized geometry, DFT GGA-PBE
data_Co2CuRh
_chemical_formula_sum 'Co8 Cu4 Rh4'
_space_group_name_H-M_alt 'I -4 2 d'
_space_group_IT_number 122
_space_group_name_Hall 'I -4 2bw'
_cell_length_a 6.5907
_cell_length_b 6.5907
_cell_length_c 4.9731
_cell_angle_alpha 90.00
_cell_angle_beta 90.00
_cell_angle_gamma 90.00
loop_
_atom_site_label
_atom_site_type_symbol
_atom_site_fract_x
_atom_site_fract_y
_atom_site_fract_z
_atom_site_occupancy
Co1 Co 0.2489 0.7500 0.1250 1
Cu1 Cu 0.0000 0.0000 0.0000 1
Rh1 Rh 0.0000 0.0000 0.5000 1
# Energy relative to the elements   0.58 eV per atom
# DFT total energy   -5.83 eV per atom
# DOS(E_F)   1.530 states/eV/atom